This record from Alexandria via LeMat-Bulk describes a relaxed Pa2PdSe5 crystal. The functional is PBE.

Geometry as CIF:
```
data_Pa2PdSe5
_chemical_formula_sum 'Pa8 Pd4 Se20'
_cell_length_a 5.5366
_cell_length_b 13.5861
_cell_length_c 13.0467
_cell_angle_alpha 90.00
_cell_angle_beta 90.00
_cell_angle_gamma 90.00
_space_group_name_H-M_alt 'C m c m'
_space_group_IT_number 63
_space_group_name_Hall '-C 2c 2'
loop_
_atom_site_label
_atom_site_type_symbol
_atom_site_fract_x
_atom_site_fract_y
_atom_site_fract_z
Pa1 Pa 0.0000 0.1403 0.0621
Pd1 Pd 0.0000 0.3024 0.7500
Se1 Se 0.0000 0.0498 0.6240
Se2 Se 0.0000 0.2344 0.2500
Se3 Se 0.0000 0.3292 0.5548
```

Formation energy (no corrections) = -1.047 eV per atom
Energy above the lowest structure with this stoichiometry = 1.2 kJ per mole of atoms